First-principles (GGA-PBE) data for crystalline LiTmSb at its relaxed geometry, as listed in the Alexandria database.

Calculated values
- Total moment: 0.000 μB per formula unit
- Calculated volume: 24.2 Å³/atom
- E above lowest polymorph: 303 meV/atom

The structure in CIF format:
```
data_LiTmSb
_space_group_name_H-M_alt 'I 4 m m'
_space_group_IT_number 107
_space_group_name_Hall 'I 4 -2'
_cell_length_a 4.0773
_cell_length_b 4.0773
_cell_length_c 8.7214
_cell_angle_alpha 90.00
_cell_angle_beta 90.00
_cell_angle_gamma 90.00
loop_
_atom_site_label
_atom_site_fract_x
_atom_site_fract_y
_atom_site_fract_z
Li1 0.0000 0.0000 0.0000
Tm1 0.0000 0.0000 0.6625
Sb1 0.0000 0.0000 0.3119
```